VASP calculation (PBE-GGA) on a relaxed Ir2RuI2 crystal.

energy = -4.8435 eV per atom
density of states at the Fermi level = 7.198 states/eV/f.u.
density = 11.4 Mg/m³
offset from the most stable computed form = 66 meV/atom

Cell lengths 3.5314, 3.5314, 17.2445 Å; angles 90.00, 90.00, 90.00 degrees
Fractional coordinates of all 10 atoms:
Ir 0.0000 0.5000 0.2500
Ir 0.0000 0.5000 0.7500
Ir 0.5000 0.0000 0.2500
Ir 0.5000 0.0000 0.7500
Ru 0.0000 0.0000 0.0000
Ru 0.5000 0.5000 0.5000
I 0.0000 0.0000 0.4043
I 0.0000 0.0000 0.5957
I 0.5000 0.5000 0.0957
I 0.5000 0.5000 0.9043